[1]
The following is a DFT calculation (GGA-PBE) of a relaxed structure of TbIrRhO6.

Unit cell a=5.362 b=5.362 c=8.575 alpha=90.00 beta=90.00 gamma=120.00
Sites, in units of the cell vectors:
Tb (0.333, 0.667, 0.250)
Tb (0.667, 0.333, 0.750)
Ir (0.333, 0.667, 0.750)
Ir (0.667, 0.333, 0.250)
Rh (0.000, 0.000, 0.000)
Rh (0.000, 0.000, 0.500)
O (0.036, 0.351, 0.619)
O (0.036, 0.685, 0.881)
O (0.315, 0.351, 0.881)
O (0.315, 0.964, 0.619)
O (0.351, 0.036, 0.119)
O (0.351, 0.315, 0.381)
O (0.649, 0.685, 0.619)
O (0.649, 0.964, 0.881)
O (0.685, 0.036, 0.381)
O (0.685, 0.649, 0.119)
O (0.964, 0.315, 0.119)
O (0.964, 0.649, 0.381)

Properties
As for the uncorrected formation energy: -1.321 eV/atom. The volume is 11.86 Å³/atom. The calculation puts the uncorrected energy at -6.942 eV/atom. The calculation puts the total magnetization at 0.181 μB per atom. The space group is P-31c (163).

[2]
The following is a DFT calculation (GGA-PBE) of a relaxed structure of TeIrRhO6.

Unit cell a=5.230 b=5.230 c=8.757 alpha=90.00 beta=90.00 gamma=120.00
Sites, in units of the cell vectors:
Te (0.333, 0.667, 0.250)
Te (0.667, 0.333, 0.750)
Ir (0.333, 0.667, 0.750)
Ir (0.667, 0.333, 0.250)
Rh (0.000, 0.000, 0.000)
Rh (0.000, 0.000, 0.500)
O (0.001, 0.349, 0.625)
O (0.001, 0.653, 0.875)
O (0.347, 0.349, 0.875)
O (0.347, 0.999, 0.625)
O (0.349, 0.001, 0.125)
O (0.349, 0.347, 0.375)
O (0.651, 0.653, 0.625)
O (0.651, 0.999, 0.875)
O (0.653, 0.001, 0.375)
O (0.653, 0.651, 0.125)
O (0.999, 0.347, 0.125)
O (0.999, 0.651, 0.375)

Properties
As for the uncorrected formation energy: -0.711 eV/atom. The volume is 11.52 Å³/atom. The calculation puts the uncorrected energy at -6.167 eV/atom. The calculation puts the total magnetization at 0.000 μB per atom. The space group is P-31c (163).

[3]
The following is a DFT calculation (GGA-PBE) of a relaxed structure of TiIrRhO6.

Unit cell a=5.011 b=5.011 c=8.836 alpha=90.00 beta=90.00 gamma=120.00
Sites, in units of the cell vectors:
Ti (0.333, 0.667, 0.250)
Ti (0.667, 0.333, 0.750)
Ir (0.333, 0.667, 0.750)
Ir (0.667, 0.333, 0.250)
Rh (0.000, 0.000, 0.000)
Rh (0.000, 0.000, 0.500)
O (0.005, 0.340, 0.126)
O (0.005, 0.665, 0.374)
O (0.335, 0.340, 0.374)
O (0.335, 0.995, 0.126)
O (0.340, 0.005, 0.626)
O (0.340, 0.335, 0.874)
O (0.660, 0.665, 0.126)
O (0.660, 0.995, 0.374)
O (0.665, 0.005, 0.874)
O (0.665, 0.660, 0.626)
O (0.995, 0.335, 0.626)
O (0.995, 0.660, 0.874)

Properties
As for the uncorrected formation energy: -1.419 eV/atom. The volume is 10.68 Å³/atom. The calculation puts the uncorrected energy at -7.403 eV/atom. The calculation puts the total magnetization at 0.089 μB per atom. The space group is P-31c (163).

[4]
The following is a DFT calculation (GGA-PBE) of a relaxed structure of Tl3IrRh3O8.

Unit cell a=7.309 b=7.309 c=7.309 alpha=51.95 beta=51.95 gamma=51.95
Sites, in units of the cell vectors:
Tl (0.000, 0.500, 0.500)
Tl (0.500, 0.000, 0.500)
Tl (0.500, 0.500, 0.000)
Ir (0.500, 0.500, 0.500)
Rh (0.000, 0.000, 0.500)
Rh (0.000, 0.500, 0.000)
Rh (0.500, 0.000, 0.000)
O (0.217, 0.217, 0.217)
O (0.220, 0.716, 0.716)
O (0.284, 0.284, 0.780)
O (0.284, 0.780, 0.284)
O (0.716, 0.220, 0.716)
O (0.716, 0.716, 0.220)
O (0.780, 0.284, 0.284)
O (0.783, 0.783, 0.783)

Properties
As for the uncorrected formation energy: -0.639 eV/atom. The volume is 14.92 Å³/atom. The calculation puts the uncorrected energy at -5.817 eV/atom. The calculation puts the total magnetization at 0.000 μB per atom. The space group is R-3m (166).

[5]
The following is a DFT calculation (GGA-PBE) of a relaxed structure of TlIr2RhO8.

Unit cell a=5.055 b=5.055 c=9.349 alpha=90.00 beta=90.00 gamma=120.00
Sites, in units of the cell vectors:
Tl (0.000, 0.000, 0.000)
Ir (0.333, 0.667, 0.711)
Ir (0.667, 0.333, 0.289)
Rh (0.000, 0.000, 0.500)
O (0.011, 0.331, 0.623)
O (0.320, 0.989, 0.623)
O (0.331, 0.320, 0.377)
O (0.333, 0.667, 0.902)
O (0.667, 0.333, 0.098)
O (0.669, 0.680, 0.623)
O (0.680, 0.011, 0.377)
O (0.989, 0.669, 0.377)

Properties
As for the uncorrected formation energy: -0.461 eV/atom. The volume is 17.24 Å³/atom. The calculation puts the uncorrected energy at -6.053 eV/atom. The calculation puts the total magnetization at 0.000 μB per atom. The space group is P-3 (147).

[6]
The following is a DFT calculation (GGA-PBE) of a relaxed structure of TlIr2RhO.

Unit cell a=5.104 b=5.104 c=3.977 alpha=90.00 beta=90.00 gamma=90.00
Sites, in units of the cell vectors:
Tl (0.000, 0.000, 0.000)
Ir (0.000, 0.500, 0.000)
Ir (0.500, 0.000, 0.000)
Rh (0.500, 0.500, 0.500)
O (0.000, 0.000, 0.500)

Properties
As for the uncorrected formation energy: 2.080 eV/atom. The volume is 20.72 Å³/atom. The calculation puts the uncorrected energy at -4.399 eV/atom. The calculation puts the total magnetization at 0.831 μB per atom. The space group is P4/mmm (123).

[7]
The following is a DFT calculation (GGA-PBE) of a relaxed structure of TmIrRhO6.

Unit cell a=5.295 b=5.295 c=8.608 alpha=90.00 beta=90.00 gamma=120.00
Sites, in units of the cell vectors:
Tm (0.333, 0.667, 0.250)
Tm (0.667, 0.333, 0.750)
Ir (0.333, 0.667, 0.750)
Ir (0.667, 0.333, 0.250)
Rh (0.000, 0.000, 0.000)
Rh (0.000, 0.000, 0.500)
O (0.029, 0.348, 0.620)
O (0.029, 0.680, 0.880)
O (0.320, 0.348, 0.880)
O (0.320, 0.971, 0.620)
O (0.348, 0.029, 0.120)
O (0.348, 0.320, 0.380)
O (0.652, 0.680, 0.620)
O (0.652, 0.971, 0.880)
O (0.680, 0.029, 0.380)
O (0.680, 0.652, 0.120)
O (0.971, 0.320, 0.120)
O (0.971, 0.652, 0.380)

Properties
As for the uncorrected formation energy: -1.372 eV/atom. The volume is 11.61 Å³/atom. The calculation puts the uncorrected energy at -6.976 eV/atom. The calculation puts the total magnetization at 0.152 μB per atom. The space group is P-31c (163).

[8]
The following is a DFT calculation (GGA-PBE) of a relaxed structure of UIrRhO6.

Unit cell a=5.192 b=5.192 c=9.178 alpha=90.00 beta=90.00 gamma=120.00
Sites, in units of the cell vectors:
U (0.333, 0.667, 0.250)
U (0.667, 0.333, 0.750)
Ir (0.000, 0.000, 0.000)
Ir (0.000, 0.000, 0.500)
Rh (0.333, 0.667, 0.750)
Rh (0.667, 0.333, 0.250)
O (0.004, 0.329, 0.623)
O (0.004, 0.676, 0.877)
O (0.324, 0.329, 0.877)
O (0.324, 0.996, 0.623)
O (0.329, 0.004, 0.123)
O (0.329, 0.324, 0.377)
O (0.671, 0.676, 0.623)
O (0.671, 0.996, 0.877)
O (0.676, 0.004, 0.377)
O (0.676, 0.671, 0.123)
O (0.996, 0.324, 0.123)
O (0.996, 0.671, 0.377)

Properties
As for the uncorrected formation energy: -1.710 eV/atom. The volume is 11.91 Å³/atom. The calculation puts the uncorrected energy at -8.071 eV/atom. The calculation puts the total magnetization at 0.000 μB per atom. The space group is P-31c (163).